Record 1
This record from the Alexandria database describes an optimized crystal structure of CaLa8Sm4. The functional is PBE-GGA.

Summary:
M_tot in μB per atom: 0.00
Total energy in eV per atom: -4.258

POSCAR file:
```
CaLa8Sm4
1.0
5.9657 3.4443 4.0700
-5.9657 3.4443 4.0700
0.0000 -6.8886 4.0700
Ca La Sm
1 8 4
direct
0.0000 0.0000 0.0000 Ca
0.1710 0.6669 0.6669 La
0.2678 0.2678 0.2678 La
0.3331 0.3331 0.8290 La
0.3331 0.8290 0.3331 La
0.6669 0.1710 0.6669 La
0.6669 0.6669 0.1710 La
0.7322 0.7322 0.7322 La
0.8290 0.3331 0.3331 La
0.0000 0.0000 0.5000 Sm
0.0000 0.5000 0.0000 Sm
0.5000 0.0000 0.0000 Sm
0.5000 0.5000 0.5000 Sm
```

***

Record 2
This record from the Alexandria database describes an optimized crystal structure of CaLaSm. The functional is PBE-GGA.

Summary:
M_tot in μB per atom: 0.00
Excess energy over the best structure of this formula in the dataset in eV/atom: 0.0526
Total energy in eV per atom: -3.792

POSCAR file:
```
CaLaSm
1.0
1.8009 -10.9152 0.0000
1.8009 10.9152 0.0000
0.0000 0.0000 5.6473
Ca La Sm
2 2 2
direct
0.0446 0.9554 0.7500 Ca
0.9554 0.0446 0.2500 Ca
0.2104 0.7896 0.7500 La
0.7896 0.2104 0.2500 La
0.3738 0.6262 0.7500 Sm
0.6262 0.3738 0.2500 Sm
```

***

Record 3
This record from the Alexandria database describes an optimized crystal structure of CaLa5Sm4. The functional is PBE-GGA.

Summary:
M_tot in μB per atom: 0.00
Total energy in eV per atom: -4.525

POSCAR file:
```
CaLa5Sm4
1.0
3.7107 0.0000 0.0000
0.0000 3.7107 0.0000
0.0000 0.0000 26.3497
Ca La Sm
1 5 4
direct
0.0000 0.0000 0.0000 Ca
0.5000 0.5000 0.1090 La
0.5000 0.5000 0.3040 La
0.5000 0.5000 0.5000 La
0.5000 0.5000 0.6960 La
0.5000 0.5000 0.8910 La
0.0000 0.0000 0.2046 Sm
0.0000 0.0000 0.4020 Sm
0.0000 0.0000 0.5980 Sm
0.0000 0.0000 0.7954 Sm
```

***

Record 4
This record from the Alexandria database describes an optimized crystal structure of CaLa5Sm3. The functional is PBE-GGA.

Summary:
M_tot in μB per atom: 0.00
Total energy in eV per atom: -4.367

POSCAR file:
```
CaLa5Sm3
1.0
8.3072 -3.5213 0.0000
8.3072 3.5213 0.0000
-3.9010 0.0000 11.3485
Ca La Sm
2 10 6
direct
0.2316 0.7684 0.7500 Ca
0.7684 0.2316 0.2500 Ca
0.0624 0.2888 0.8585 La
0.2888 0.0624 0.3585 La
0.3092 0.6908 0.2500 La
0.3873 0.3969 0.4527 La
0.3969 0.3873 0.9527 La
0.6031 0.6127 0.0473 La
0.6127 0.6031 0.5473 La
0.6908 0.3092 0.7500 La
0.7112 0.9376 0.6415 La
0.9376 0.7112 0.1415 La
0.0000 0.0000 0.0000 Sm
0.0000 0.0000 0.5000 Sm
0.1509 0.3610 0.6300 Sm
0.3610 0.1509 0.1300 Sm
0.6390 0.8491 0.8700 Sm
0.8491 0.6390 0.3700 Sm
```

***

Record 5
This record from the Alexandria database describes an optimized crystal structure of CaLa8Sm2. The functional is PBE-GGA.

Summary:
M_tot in μB per atom: 0.00
Total energy in eV per atom: -4.597

POSCAR file:
```
CaLa8Sm2
1.0
9.4888 -2.6463 0.0000
9.4888 2.6463 0.0000
-2.1416 0.0000 8.0464
Ca La Sm
1 8 2
direct
0.0000 0.0000 0.0000 Ca
0.0931 0.0931 0.4621 La
0.1838 0.1838 0.9105 La
0.3583 0.3583 0.8083 La
0.4521 0.4521 0.2833 La
0.5479 0.5479 0.7167 La
0.6417 0.6417 0.1917 La
0.8162 0.8162 0.0895 La
0.9069 0.9069 0.5379 La
0.2726 0.2726 0.3637 Sm
0.7274 0.7274 0.6363 Sm
```

***

Record 6
This record from the Alexandria database describes an optimized crystal structure of Ca2La3Sm. The functional is PBE-GGA.

Summary:
M_tot in μB per atom: 0.00
Total energy in eV per atom: -3.882

POSCAR file:
```
Ca2La3Sm
1.0
7.5017 0.0000 0.0000
-3.7508 6.4966 0.0000
0.0000 0.0000 9.3753
Ca La Sm
4 6 2
direct
0.0000 0.0000 0.0000 Ca
0.0000 0.5000 0.0000 Ca
0.5000 0.0000 0.0000 Ca
0.5000 0.5000 0.0000 Ca
0.1667 0.3335 0.6539 La
0.1667 0.8333 0.6539 La
0.3335 0.1667 0.3461 La
0.6665 0.8333 0.6539 La
0.8333 0.1667 0.3461 La
0.8333 0.6665 0.3461 La
0.3333 0.6667 0.3421 Sm
0.6667 0.3333 0.6579 Sm
```

***

Record 7
This record from the Alexandria database describes an optimized crystal structure of CaLa12Sm5. The functional is PBE-GGA.

Summary:
M_tot in μB per atom: 0.00
Total energy in eV per atom: -4.682

POSCAR file:
```
CaLa12Sm5
1.0
9.6434 -5.5536 0.0000
9.6434 5.5536 0.0000
-2.1194 0.0000 6.0920
Ca La Sm
1 12 5
direct
0.0000 0.0000 0.0000 Ca
0.0025 0.6583 0.6620 La
0.1637 0.5045 0.1636 La
0.1749 0.8251 0.5000 La
0.3378 0.6622 0.0000 La
0.3417 0.9975 0.3380 La
0.4955 0.8363 0.8364 La
0.5045 0.1637 0.1636 La
0.6583 0.0025 0.6620 La
0.6622 0.3378 0.0000 La
0.8251 0.1749 0.5000 La
0.8363 0.4955 0.8364 La
0.9975 0.3417 0.3380 La
0.1692 0.1692 0.8268 Sm
0.3336 0.3336 0.6623 Sm
0.5000 0.5000 0.5000 Sm
0.6664 0.6664 0.3377 Sm
0.8308 0.8308 0.1732 Sm
```

***

Record 8
This record from the Alexandria database describes an optimized crystal structure of Ca2La4Sm. The functional is PBE-GGA.

Summary:
M_tot in μB per atom: 0.00
Total energy in eV per atom: -3.996

POSCAR file:
```
Ca2La4Sm
1.0
2.7955 -12.9502 0.0000
2.7955 12.9502 0.0000
0.0000 0.0000 3.6317
Ca La Sm
2 4 1
direct
0.2107 0.7893 0.0000 Ca
0.7893 0.2107 0.0000 Ca
0.0699 0.9301 0.0000 La
0.3638 0.6362 0.5000 La
0.6362 0.3638 0.5000 La
0.9301 0.0699 0.0000 La
0.5000 0.5000 0.5000 Sm
```

***

| no. | ΔE_f (eV/atom) | volume (Å³ per atom) |
| --- | --- | --- |
| 1 | 0.38 | 38.6 |
| 2 | 0.09 | 37.0 |
| 3 | 0.03 | 36.3 |
| 4 | 0.17 | 36.9 |
| 5 | 0.03 | 36.7 |
| 6 | 0.04 | 38.1 |
| 7 | 0.03 | 36.3 |
| 8 | 0.07 | 37.6 |